No. 1
# Na2LiTa, optimized geometry, DFT GGA-PBE
# - electronic total energy (eV per cell) = -46.15
# - calculated volume (Å³ per cell) = 400.7
# - E above lowest polymorph (kcal/mol of atoms) = 0.00
# - energy of formation from the pure elements (meV per atom) = 1217
# - spin magnetization (μB per formula unit) = 3.506
data_Na2LiTa
_space_group_name_H-M_alt 'F -4 3 m'
_space_group_IT_number 216
_space_group_name_Hall 'F -4 2 3'
_cell_length_a 7.3721
_cell_length_b 7.3721
_cell_length_c 7.3721
_cell_angle_alpha 90.00
_cell_angle_beta 90.00
_cell_angle_gamma 90.00
loop_
_atom_site_label
_atom_site_fract_x
_atom_site_fract_y
_atom_site_fract_z
Na1 0.0000 0.0000 0.0000
Na2 0.2500 0.2500 0.2500
Li1 0.2500 0.2500 0.7500
Ta1 0.0000 0.0000 0.5000

No. 2
# ZrBe2Ga2, optimized geometry, DFT GGA-PBE
# - electronic total energy (eV per cell) = -46.42
# - calculated volume (Å³ per cell) = 141.7
# - E above lowest polymorph (kcal/mol of atoms) = 1.29
# - energy of formation from the pure elements (meV per atom) = -232
# - spin magnetization (μB per formula unit) = 0.000
data_ZrBe2Ga2
_space_group_name_H-M_alt 'I 4/m m m'
_space_group_IT_number 139
_space_group_name_Hall '-I 4 2'
_cell_length_a 3.7771
_cell_length_b 3.7771
_cell_length_c 9.9337
_cell_angle_alpha 90.00
_cell_angle_beta 90.00
_cell_angle_gamma 90.00
loop_
_atom_site_label
_atom_site_fract_x
_atom_site_fract_y
_atom_site_fract_z
Zr1 0.0000 0.0000 0.0000
Be1 0.0000 0.5000 0.2500
Ga1 0.0000 0.0000 0.3797

No. 3
# ZrNiSbH, optimized geometry, DFT GGA-PBE
# - electronic total energy (eV per cell) = -23.69
# - calculated volume (Å³ per cell) = 58.1
# - spin magnetization (μB per formula unit) = 0.000
data_ZrNiSbH
_space_group_name_H-M_alt 'P 3 m 1'
_space_group_IT_number 156
_space_group_name_Hall 'P 3 -2"'
_cell_length_a 4.2015
_cell_length_b 4.2015
_cell_length_c 3.7977
_cell_angle_alpha 90.00
_cell_angle_beta 90.00
_cell_angle_gamma 120.00
loop_
_atom_site_label
_atom_site_fract_x
_atom_site_fract_y
_atom_site_fract_z
Zr1 0.0000 0.0000 0.0000
Ni1 0.6667 0.3333 0.5590
Sb1 0.3333 0.6667 0.4803
H1 0.6667 0.3333 0.9822